1.
A geometry-optimized TcGeIO2 structure. Source: Alexandria, functional PBE.

Structure (POSCAR):
```
TcGeIO2
1.0
3.8259 0.0000 0.0000
0.0000 3.8259 0.0000
0.0000 0.0000 6.5352
Tc Ge I O
1 1 1 2
Direct
0.0000 0.0000 0.0000
0.5000 0.5000 0.5000
0.5000 0.5000 0.0000
0.0000 0.5000 0.5000
0.5000 0.0000 0.5000
```

E above lowest polymorph (meV/atom): 466.8
Total magnetization (μB per formula unit): 3.681
Formation energy without anion corrections (meV per atom): 227
DFT total energy (eV per atom): -5.063

=====

2.
A geometry-optimized GeTe2IO structure. Source: Alexandria, functional PBE.

Structure (POSCAR):
```
GeTe2IO
1.0
4.5096 0.0000 0.0000
0.0000 4.5096 0.0000
0.0000 0.0000 6.5097
Ge Te I O
1 2 1 1
Direct
0.0000 0.0000 0.0000
0.0000 0.5000 0.5000
0.5000 0.0000 0.5000
0.5000 0.5000 0.0000
0.5000 0.5000 0.5000
```

E above lowest polymorph (meV/atom): 0.0
Total magnetization (μB per formula unit): 0.000
Formation energy without anion corrections (meV per atom): 198
DFT total energy (eV per atom): -3.284

=====

3.
A geometry-optimized GeTeIO2 structure. Source: Alexandria, functional PBE.

Structure (POSCAR):
```
GeTeIO2
1.0
4.1328 0.0000 0.0000
0.0000 4.1328 0.0000
0.0000 0.0000 7.5848
Ge Te I O
1 1 1 2
Direct
0.0000 0.0000 0.0000
0.5000 0.5000 0.5000
0.5000 0.5000 0.0000
0.0000 0.5000 0.5000
0.5000 0.0000 0.5000
```

E above lowest polymorph (meV/atom): 0.0
Total magnetization (μB per formula unit): 0.905
Formation energy without anion corrections (meV per atom): -57
DFT total energy (eV per atom): -3.902

=====

4.
A geometry-optimized GeTe2IO structure. Source: Alexandria, functional PBE.

Structure (POSCAR):
```
GeTe2IO
1.0
5.4222 0.0000 0.0000
0.0000 5.4222 0.0000
0.0000 0.0000 5.5033
Ge Te I O
1 2 1 1
Direct
0.0000 0.0000 0.0000
0.0000 0.5000 0.0000
0.5000 0.0000 0.0000
0.0000 0.0000 0.5000
0.5000 0.5000 0.5000
```

E above lowest polymorph (meV/atom): 809.1
Total magnetization (μB per formula unit): 0.000
Formation energy without anion corrections (meV per atom): 1007
DFT total energy (eV per atom): -2.475

=====

5.
A geometry-optimized GeTeIO2 structure. Source: Alexandria, functional PBE.

Structure (POSCAR):
```
GeTeIO2
1.0
4.0162 0.0000 0.0000
0.0000 4.0162 0.0000
0.0000 0.0000 6.8789
Ge Te I O
1 1 1 2
Direct
0.0000 0.0000 0.0000
0.5000 0.5000 0.5000
0.0000 0.0000 0.5000
0.0000 0.5000 0.0000
0.5000 0.0000 0.0000
```

E above lowest polymorph (meV/atom): 63.6
Total magnetization (μB per formula unit): 0.000
Formation energy without anion corrections (meV per atom): 7
DFT total energy (eV per atom): -3.838

=====

6.
A geometry-optimized ThGeIO4 structure. Source: Alexandria, functional PBE.

Structure (POSCAR):
```
ThGeIO4
1.0
6.0598 -3.2496 0.0000
6.0598 3.2496 0.0000
-1.4802 0.0000 6.8290
Th Ge I O
2 2 2 8
Direct
0.1998 0.1998 0.3242
0.8002 0.8002 0.6758
0.1314 0.1314 0.7577
0.8686 0.8686 0.2423
0.4675 0.4675 0.8047
0.5325 0.5325 0.1953
0.0158 0.0158 0.2779
0.0250 0.6113 0.3746
0.1938 0.1938 0.0074
0.3887 0.9750 0.6254
0.6113 0.0250 0.3746
0.8062 0.8062 0.9926
0.9750 0.3887 0.6254
0.9842 0.9842 0.7221
```

Total magnetization (μB per formula unit): 0.000
Formation energy without anion corrections (meV per atom): -2214
DFT total energy (eV per atom): -6.989

=====

7.
A geometry-optimized TiGeI2O structure. Source: Alexandria, functional PBE.

Structure (POSCAR):
```
TiGeI2O
1.0
5.7525 0.0000 0.0000
0.0000 5.7525 0.0000
0.0000 0.0000 3.7532
Ti Ge I O
1 1 2 1
Direct
0.0000 0.0000 0.0000
0.5000 0.5000 0.5000
0.0000 0.5000 0.0000
0.5000 0.0000 0.0000
0.0000 0.0000 0.5000
```

E above lowest polymorph (meV/atom): 0.0
Total magnetization (μB per formula unit): 1.461
Formation energy without anion corrections (meV per atom): -737
DFT total energy (eV per atom): -4.851

=====

8.
A geometry-optimized TiGeI2O structure. Source: Alexandria, functional PBE.

Structure (POSCAR):
```
TiGeI2O
1.0
5.8315 0.0000 0.0000
0.0000 5.8315 0.0000
0.0000 0.0000 3.7469
Ti Ge I O
1 1 2 1
Direct
0.0000 0.0000 0.0000
0.5000 0.5000 0.5000
0.0000 0.5000 0.5000
0.5000 0.0000 0.5000
0.5000 0.5000 0.0000
```

E above lowest polymorph (meV/atom): 807.6
Total magnetization (μB per formula unit): 0.779
Formation energy without anion corrections (meV per atom): 71
DFT total energy (eV per atom): -4.043

=====

9.
A geometry-optimized TlGeI2O structure. Source: Alexandria, functional PBE.

Structure (POSCAR):
```
TlGeI2O
1.0
5.7058 0.0000 0.0000
0.0000 5.7058 0.0000
0.0000 0.0000 5.8690
Tl Ge I O
1 1 2 1
Direct
0.0000 0.0000 0.0000
0.0000 0.0000 0.5000
0.0000 0.5000 0.5000
0.5000 0.0000 0.5000
0.5000 0.5000 0.0000
```

E above lowest polymorph (meV/atom): 1016.1
Total magnetization (μB per formula unit): 0.361
Formation energy without anion corrections (meV per atom): 511
DFT total energy (eV per atom): -2.497

=====

10.
A geometry-optimized TlGeI2O structure. Source: Alexandria, functional PBE.

Structure (POSCAR):
```
TlGeI2O
1.0
6.1724 0.0000 0.0000
0.0000 6.1724 0.0000
0.0000 0.0000 4.0967
Tl Ge I O
1 1 2 1
Direct
0.0000 0.0000 0.0000
0.5000 0.5000 0.5000
0.0000 0.5000 0.0000
0.5000 0.0000 0.0000
0.0000 0.0000 0.5000
```

E above lowest polymorph (meV/atom): 693.1
Total magnetization (μB per formula unit): 0.206
Formation energy without anion corrections (meV per atom): 188
DFT total energy (eV per atom): -2.820

=====

11.
A geometry-optimized TlGeIO2 structure. Source: Alexandria, functional PBE.

Structure (POSCAR):
```
TlGeIO2
1.0
4.3142 0.0000 0.0000
0.0000 4.3142 0.0000
0.0000 0.0000 6.2160
Tl Ge I O
1 1 1 2
Direct
0.0000 0.0000 0.0000
0.5000 0.5000 0.5000
0.0000 0.0000 0.5000
0.0000 0.5000 0.0000
0.5000 0.0000 0.0000
```

E above lowest polymorph (meV/atom): 529.4
Total magnetization (μB per formula unit): 0.269
Formation energy without anion corrections (meV per atom): 280
DFT total energy (eV per atom): -3.410

=====

12.
A geometry-optimized TlGeIO2 structure. Source: Alexandria, functional PBE.

Structure (POSCAR):
```
TlGeIO2
1.0
4.1615 0.0000 0.0000
0.0000 4.1615 0.0000
0.0000 0.0000 5.8342
Tl Ge I O
1 1 1 2
Direct
0.0000 0.0000 0.0000
0.5000 0.5000 0.5000
0.5000 0.5000 0.0000
0.0000 0.5000 0.5000
0.5000 0.0000 0.5000
```

E above lowest polymorph (meV/atom): 0.0
Total magnetization (μB per formula unit): 0.000
Formation energy without anion corrections (meV per atom): -250
DFT total energy (eV per atom): -3.940

=====

13.
A geometry-optimized TlGeI2O structure. Source: Alexandria, functional PBE.

Structure (POSCAR):
```
TlGeI2O
1.0
6.1639 0.0000 0.0000
0.0000 6.1639 0.0000
0.0000 0.0000 3.8100
Tl Ge I O
1 1 2 1
Direct
0.0000 0.0000 0.0000
0.5000 0.5000 0.5000
0.0000 0.5000 0.5000
0.5000 0.0000 0.5000
0.5000 0.5000 0.0000
```

E above lowest polymorph (meV/atom): 0.0
Total magnetization (μB per formula unit): 0.000
Formation energy without anion corrections (meV per atom): -505
DFT total energy (eV per atom): -3.513